{"formula": "LiTc2PdAu", "functional": "PBE", "state": "optimized geometry", "cell": [[4.855, 0.000, 0.000], [0.000, 4.855, 0.000], [0.000, 0.000, 4.328]], "species": ["Li", "Tc", "Tc", "Pd", "Au"], "fractional_positions": [[0.000, 0.000, 0.000], [0.000, 0.500, 0.500], [0.500, 0.000, 0.500], [0.000, 0.000, 0.500], [0.500, 0.500, 0.000]], "delta_e_f_ev_per_atom": 1.34, "total_energy_ev_per_cell": -24.4}